(1)
ErTmCd | PBE | optimized geometry

The space group is Amm2 (No. 38) and the conventional cell measures 3.512, 3.464 and 27.401 Å, with angles of 90.00, 90.00 and 90.00 degrees. The inequivalent atoms are Er at (0.000, 0.000, 0.000), Er at (0.000, 0.000, 0.150), Tm at (0.000, 0.000, 0.303), Tm at (0.500, 0.000, 0.891), Cd at (0.500, 0.000, 0.575) and Cd at (0.500, 0.000, 0.726).

The calculation puts the energy relative to the lowest polymorph listed for this composition at 86 meV per atom. For the final energy, the calculation gives -41.02 eV for the cell shown. As for the density of states at the Fermi level: 16.5 states/eV/cell. The calculation puts the size of the total moment at 0.039 μB/f.u. The formation energy is -0.3 eV per formula unit.

(2)
BaSr2LaZn | PBE | optimized geometry

The space group is P4/mmm (No. 123) and the conventional cell measures 6.258, 6.258 and 5.504 Å, with angles of 90.00, 90.00 and 90.00 degrees. The inequivalent atoms are Ba at (0.000, 0.000, 0.000), Sr at (0.000, 0.500, 0.000), La at (0.500, 0.500, 0.500) and Zn at (0.000, 0.000, 0.500).

The calculation puts the energy relative to the lowest polymorph listed for this composition at 711 meV per atom. For the final energy, the calculation gives -7.70 eV for the cell shown. As for the density of states at the Fermi level: 7.0 states/eV/cell. The calculation puts the size of the total moment at 0.000 μB/f.u. The formation energy is 3.8 eV per formula unit.

(3)
LaGa2Ni6 | PBE | optimized geometry

The space group is Fd-3m (No. 227, origin choice 2) and the conventional cell measures 10.582, 10.582 and 10.582 Å, with angles of 90.00, 90.00 and 90.00 degrees. The inequivalent atoms are La at (0.125, 0.125, 0.125), Ga at (0.000, 0.000, 0.500) and Ni at (0.121, 0.375, 0.375).

For the final energy, the calculation gives -355.83 eV for the cell shown. As for the density of states at the Fermi level: 29.4 states/eV/cell. The calculation puts the size of the total moment at 0.000 μB/f.u. The formation energy is 1.2 eV per formula unit.

(4)
InNiP2 | PBE | optimized geometry

The space group is Pmmm (No. 47) and the conventional cell measures 3.487, 3.848 and 4.850 Å, with angles of 90.00, 90.00 and 90.00 degrees. The inequivalent atoms are In at (0.000, 0.000, 0.000), Ni at (0.500, 0.500, 0.000), P at (0.000, 0.500, 0.500) and P at (0.500, 0.000, 0.500).

For the final energy, the calculation gives -17.54 eV for the cell shown. As for the density of states at the Fermi level: 2.0 states/eV/cell. The calculation puts the size of the total moment at 0.000 μB/f.u. The formation energy is 1.8 eV per formula unit.

(5)
ErPaSnPb | PBE | optimized geometry

The space group is F-43m (No. 216) and the conventional cell measures 7.572, 7.572 and 7.572 Å, with angles of 90.00, 90.00 and 90.00 degrees. The inequivalent atoms are Er at (0.000, 0.000, 0.000), Pa at (0.000, 0.000, 0.500), Sn at (0.250, 0.250, 0.750) and Pb at (0.250, 0.250, 0.250).

For the final energy, the calculation gives -89.48 eV for the cell shown. As for the density of states at the Fermi level: 30.7 states/eV/cell. The calculation puts the size of the total moment at 1.922 μB/f.u. The formation energy is -0.6 eV per formula unit.

(6)
PaMnAs | PBE | optimized geometry

The space group is I4mm (No. 107) and the conventional cell measures 4.201, 4.201 and 7.241 Å, with angles of 90.00, 90.00 and 90.00 degrees. The inequivalent atoms are Pa at (0.000, 0.000, 0.000), Mn at (0.000, 0.000, 0.290) and As at (0.000, 0.000, 0.613).

For the final energy, the calculation gives -46.54 eV for the cell shown. As for the density of states at the Fermi level: 5.3 states/eV/cell. The calculation puts the size of the total moment at 1.143 μB/f.u. The formation energy is 0.0 eV per formula unit.

(7)
GeTe4Pt | PBE | optimized geometry

The space group is I4_1md (No. 109) and the conventional cell measures 9.337, 9.337 and 8.188 Å, with angles of 90.00, 90.00 and 90.00 degrees. The inequivalent atoms are Ge at (0.000, 0.000, 0.000), Te at (0.000, 0.191, 0.253), Te at (0.000, 0.193, 0.743) and Pt at (0.000, 0.000, 0.493).

The calculation puts the energy relative to the lowest polymorph listed for this composition at 232 meV per atom. For the final energy, the calculation gives -92.03 eV for the cell shown. As for the density of states at the Fermi level: 16.4 states/eV/cell. The calculation puts the size of the total moment at 0.000 μB/f.u.

(8)
Pu2GaNi4As3 | PBE | optimized geometry

The space group is P-4m2 (No. 115) and the conventional cell measures 4.087, 4.087 and 9.722 Å, with angles of 90.00, 90.00 and 90.00 degrees. The inequivalent atoms are Pu at (0.000, 0.500, 0.246), Ga at (0.000, 0.000, 0.500), Ni at (0.000, 0.000, 0.000), Ni at (0.000, 0.500, 0.628), Ni at (0.500, 0.500, 0.000), As at (0.000, 0.500, 0.867) and As at (0.500, 0.500, 0.500).

For the final energy, the calculation gives -74.92 eV for the cell shown. As for the density of states at the Fermi level: 26.4 states/eV/cell. The calculation puts the size of the total moment at 10.174 μB/f.u. The formation energy is -6.2 eV per formula unit.

(9)
CaPb2F | PBE | optimized geometry

The space group is I-42d (No. 122) and the conventional cell measures 4.237, 4.237 and 25.384 Å, with angles of 90.00, 90.00 and 90.00 degrees. The inequivalent atoms are Ca at (0.000, 0.000, 0.000), Pb at (0.247, 0.250, 0.125) and F at (0.000, 0.000, 0.500).

The calculation puts the energy relative to the lowest polymorph listed for this composition at 0 meV per atom. For the final energy, the calculation gives -60.03 eV for the cell shown. As for the density of states at the Fermi level: 7.2 states/eV/cell. The calculation puts the size of the total moment at 0.000 μB/f.u.

(10)
LaZn2H | PBE | optimized geometry

The space group is I-42d (No. 122) and the conventional cell measures 5.855, 5.855 and 8.271 Å, with angles of 90.00, 90.00 and 90.00 degrees. The inequivalent atoms are La at (0.000, 0.000, 0.000), Zn at (0.001, 0.750, 0.625) and H at (0.000, 0.000, 0.500).

The calculation puts the energy relative to the lowest polymorph listed for this composition at 0 meV per atom. For the final energy, the calculation gives -42.14 eV for the cell shown. As for the density of states at the Fermi level: 12.0 states/eV/cell. The calculation puts the size of the total moment at 0.000 μB/f.u.

(11)
Na4Tl5Cd | PBE | optimized geometry

The space group is P-1 (No. 2) and the conventional cell measures 6.041, 6.757 and 7.667 Å, with angles of 76.74, 74.19 and 71.53 degrees. The inequivalent atoms are Na at (0.115, 0.391, 0.303), Na at (0.296, 0.191, 0.891), Tl at (0.118, 0.888, 0.303), Tl at (0.293, 0.690, 0.886), Tl at (0.500, 0.000, 0.500) and Cd at (0.500, 0.500, 0.500).

For the final energy, the calculation gives -18.90 eV for the cell shown. As for the density of states at the Fermi level: 5.3 states/eV/cell. The calculation puts the size of the total moment at 0.000 μB/f.u. The formation energy is -0.9 eV per formula unit.

(12)
Nd2GaNi2Rh5 | PBE | optimized geometry

The space group is P4/mbm (No. 127) and the conventional cell measures 9.342, 9.342 and 3.823 Å, with angles of 90.00, 90.00 and 90.00 degrees. The inequivalent atoms are Nd at (0.176, 0.324, 0.000), Ga at (0.000, 0.000, 0.000), Ni at (0.123, 0.623, 0.000), Rh at (0.000, 0.500, 0.500) and Rh at (0.065, 0.796, 0.500).

For the final energy, the calculation gives -130.80 eV for the cell shown. As for the density of states at the Fermi level: 16.9 states/eV/cell. The calculation puts the size of the total moment at 0.000 μB/f.u. The formation energy is -4.5 eV per formula unit.

Question: Which value of final energy does entry 11 give?
Answer: -18.90 eV for the cell shown